<w>
Material: Cu2TcRu
Method: DFT, PBEsol
State: relaxed

abc: 2.680 3.650 5.190
angles: 90.00 90.00 90.00
Space group Pmm2 (No. 25)
Asymmetric unit:
Cu1 0.000 0.000 0.000 x1
Cu2 0.500 0.500 0.218 x1
Tc1 0.500 0.500 0.722 x1
Ru1 0.000 0.000 0.497 x1

Calculated values
V in Å³ per atom: 12.69

=====

<x>
Material: Cu2TcRu
Method: DFT, PBEsol
State: relaxed

abc: 4.901 7.910 2.612
angles: 90.00 90.00 90.00
Space group Cmmm (No. 65)
Asymmetric unit:
Cu1 0.250 0.250 0.000 x4
Tc1 0.000 0.000 0.500 x2
Ru1 0.000 0.500 0.500 x2

Calculated values
V in Å³ per atom: 12.65

=====

Most stable one: <w>, least stable one: <x>.

=====

<w>
Material: CuTe2Ru
Method: DFT, PBEsol
State: relaxed

abc: 3.230 3.229 7.033
angles: 90.00 93.23 90.00
Space group P2/m (No. 10)
Asymmetric unit:
Cu1 0.000 0.000 0.000 x1
Te1 0.454 0.500 0.262 x2
Ru1 0.000 0.000 0.500 x1

Calculated values
V in Å³ per atom: 18.31

=====

<x>
Material: CuTe2Ru
Method: DFT, PBEsol
State: relaxed

abc: 3.185 3.528 7.080
angles: 90.00 90.00 90.00
Space group Pmm2 (No. 25)
Asymmetric unit:
Cu1 0.000 0.000 0.000 x1
Te1 0.000 0.000 0.379 x1
Te2 0.500 0.500 0.817 x1
Ru1 0.500 0.500 0.196 x1

Calculated values
V in Å³ per atom: 19.89

=====

Most stable one: <x>, least stable one: <w>.